No. 1
Material: NbTlCuOs
Method: DFT, PBE
State: relaxed

```
data_NbTlCuOs
_cell_length_a 6.4490
_cell_length_b 6.4490
_cell_length_c 6.4490
_cell_angle_alpha 90.00
_cell_angle_beta 90.00
_cell_angle_gamma 90.00
_symmetry_space_group_name_H-M 'F -4 3 m'
_symmetry_Int_Tables_number 216
_symmetry_space_group_name_Hall 'F -4 2 3'
loop_
_atom_site_label
_atom_site_type_symbol
_atom_site_fract_x
_atom_site_fract_y
_atom_site_fract_z
Nb1 Nb 0.0000 0.0000 0.0000
Tl1 Tl 0.0000 0.0000 0.5000
Cu1 Cu 0.2500 0.2500 0.7500
Os1 Os 0.2500 0.2500 0.2500
```

Summary:
Energy   -6.447 eV per atom
Distance to the lowest polymorph of the same formula   0.000 eV per atom

***

No. 2
Material: NaLaCoTe3
Method: DFT, PBE
State: relaxed

```
data_NaLaCoTe3
_cell_length_a 4.3708
_cell_length_b 14.3398
_cell_length_c 12.0363
_cell_angle_alpha 90.00
_cell_angle_beta 90.00
_cell_angle_gamma 90.00
_symmetry_space_group_name_H-M 'C m c m'
_symmetry_Int_Tables_number 63
_symmetry_space_group_name_Hall '-C 2c 2'
loop_
_atom_site_label
_atom_site_type_symbol
_atom_site_fract_x
_atom_site_fract_y
_atom_site_fract_z
Na1 Na 0.0000 0.2440 0.2500
La1 La 0.0000 0.0000 0.0000
Co1 Co 0.0000 0.4719 0.7500
Te1 Te 0.0000 0.0780 0.7500
Te2 Te 0.0000 0.3560 0.5851
```

Summary:
Energy   -4.589 eV per atom
Distance to the lowest polymorph of the same formula   0.016 eV per atom